Record 1
An optimized crystal structure of HoTiO3. Source: Alexandria via LeMat-Bulk, functional PBE.

a = 5.700 Å, b = 7.668 Å, c = 5.317 Å
α = 90.00°, β = 90.00°, γ = 90.00°
Fractional coordinates of all 20 atoms:
Ho: 0.073 0.250 0.023
Ho: 0.427 0.750 0.523
Ho: 0.573 0.250 0.477
Ho: 0.927 0.750 0.977
Ti: 0.000 0.000 0.500
Ti: 0.000 0.500 0.500
Ti: 0.500 0.000 0.000
Ti: 0.500 0.500 0.000
O: 0.048 0.750 0.375
O: 0.197 0.560 0.811
O: 0.197 0.940 0.811
O: 0.303 0.060 0.311
O: 0.303 0.440 0.311
O: 0.452 0.250 0.875
O: 0.548 0.750 0.125
O: 0.697 0.560 0.689
O: 0.697 0.940 0.689
O: 0.803 0.060 0.189
O: 0.803 0.440 0.189
O: 0.952 0.250 0.625

Its symmetry is Pnma, No. 62.

***

Record 2
An optimized crystal structure of HoTi3O6. Source: Alexandria via LeMat-Bulk, functional PBE.

a = 8.498 Å, b = 3.044 Å, c = 8.686 Å
α = 90.00°, β = 110.02°, γ = 90.00°
Fractional coordinates of all 20 atoms:
Ho: 0.065 0.250 0.203
Ho: 0.935 0.750 0.797
Ti: 0.174 0.250 0.598
Ti: 0.321 0.750 0.992
Ti: 0.459 0.250 0.344
Ti: 0.541 0.750 0.656
Ti: 0.679 0.250 0.008
Ti: 0.826 0.750 0.402
O: 0.076 0.750 0.417
O: 0.127 0.250 0.963
O: 0.192 0.750 0.750
O: 0.286 0.750 0.232
O: 0.375 0.250 0.538
O: 0.479 0.250 0.113
O: 0.521 0.750 0.887
O: 0.625 0.750 0.462
O: 0.714 0.250 0.768
O: 0.808 0.250 0.250
O: 0.873 0.750 0.037
O: 0.924 0.250 0.583

Its symmetry is P2_1/m, No. 11.

***

Record 3
An optimized crystal structure of HoTi4O6. Source: Alexandria via LeMat-Bulk, functional PBE.

a = 5.199 Å, b = 5.199 Å, c = 15.015 Å
α = 90.00°, β = 90.00°, γ = 145.66°
Fractional coordinates of all 22 atoms:
Ho: 0.154 0.846 0.750
Ho: 0.846 0.154 0.250
Ti: 0.103 0.897 0.121
Ti: 0.103 0.897 0.379
Ti: 0.355 0.645 0.037
Ti: 0.355 0.645 0.463
Ti: 0.645 0.355 0.537
Ti: 0.645 0.355 0.963
Ti: 0.897 0.103 0.621
Ti: 0.897 0.103 0.879
O: 0.000 0.000 0.000
O: 0.000 0.000 0.500
O: 0.181 0.819 0.250
O: 0.256 0.744 0.599
O: 0.256 0.744 0.901
O: 0.461 0.539 0.159
O: 0.461 0.539 0.341
O: 0.539 0.461 0.659
O: 0.539 0.461 0.841
O: 0.744 0.256 0.099
O: 0.744 0.256 0.401
O: 0.819 0.181 0.750

Its symmetry is Cmcm, No. 63.

***

Record 4
An optimized crystal structure of Ho2TiO5. Source: Alexandria via LeMat-Bulk, functional PBE.

a = 7.513 Å, b = 3.592 Å, c = 15.471 Å
α = 90.00°, β = 90.00°, γ = 90.00°
Fractional coordinates of all 32 atoms:
Ho: 0.135 0.250 0.241
Ho: 0.138 0.250 0.576
Ho: 0.362 0.750 0.076
Ho: 0.365 0.750 0.741
Ho: 0.635 0.250 0.259
Ho: 0.638 0.250 0.924
Ho: 0.862 0.750 0.424
Ho: 0.865 0.750 0.759
Ti: 0.135 0.250 0.920
Ti: 0.365 0.750 0.420
Ti: 0.635 0.250 0.580
Ti: 0.865 0.750 0.080
O: 0.091 0.750 0.149
O: 0.101 0.750 0.672
O: 0.106 0.750 0.960
O: 0.143 0.750 0.489
O: 0.235 0.750 0.320
O: 0.265 0.250 0.820
O: 0.357 0.250 0.989
O: 0.394 0.250 0.460
O: 0.399 0.250 0.172
O: 0.409 0.250 0.649
O: 0.591 0.750 0.351
O: 0.601 0.750 0.828
O: 0.606 0.750 0.540
O: 0.643 0.750 0.011
O: 0.735 0.750 0.180
O: 0.765 0.250 0.680
O: 0.857 0.250 0.511
O: 0.894 0.250 0.040
O: 0.899 0.250 0.328
O: 0.909 0.250 0.851

Its symmetry is Pnma, No. 62.

***

Record 5
An optimized crystal structure of HoTi2O5. Source: Alexandria via LeMat-Bulk, functional PBE.

a = 3.518 Å, b = 11.926 Å, c = 4.942 Å
α = 90.00°, β = 90.00°, γ = 90.00°
Fractional coordinates of all 16 atoms:
Ho: 0.250 0.250 0.125
Ho: 0.750 0.750 0.875
Ti: 0.250 0.595 0.420
Ti: 0.250 0.905 0.420
Ti: 0.750 0.095 0.580
Ti: 0.750 0.405 0.580
O: 0.250 0.080 0.411
O: 0.250 0.420 0.411
O: 0.250 0.638 0.074
O: 0.250 0.750 0.576
O: 0.250 0.862 0.074
O: 0.750 0.138 0.926
O: 0.750 0.250 0.424
O: 0.750 0.362 0.926
O: 0.750 0.580 0.589
O: 0.750 0.920 0.589

Its symmetry is Pmmn, No. 59.

***

Record 6
An optimized crystal structure of Ho3TiO6. Source: Alexandria via LeMat-Bulk, functional PBE.

a = 7.028 Å, b = 7.028 Å, c = 5.474 Å
α = 90.00°, β = 90.00°, γ = 100.76°
Fractional coordinates of all 20 atoms:
Ho: 0.103 0.897 0.500
Ho: 0.188 0.411 0.449
Ho: 0.411 0.188 0.949
Ho: 0.589 0.812 0.449
Ho: 0.812 0.589 0.949
Ho: 0.897 0.103 0.000
Ti: 0.345 0.655 0.934
Ti: 0.655 0.345 0.434
O: 0.100 0.596 0.760
O: 0.144 0.172 0.725
O: 0.172 0.144 0.225
O: 0.278 0.722 0.266
O: 0.404 0.900 0.760
O: 0.487 0.513 0.648
O: 0.513 0.487 0.148
O: 0.596 0.100 0.260
O: 0.722 0.278 0.766
O: 0.828 0.856 0.725
O: 0.856 0.828 0.225
O: 0.900 0.404 0.260

Its symmetry is Cmc2_1, No. 36.

***

Record 7
An optimized crystal structure of HoTiO. Source: Alexandria via LeMat-Bulk, functional PBE.

a = 3.139 Å, b = 3.139 Å, c = 11.143 Å
α = 90.00°, β = 90.00°, γ = 120.00°
Fractional coordinates of all 6 atoms:
Ho: 0.000 0.000 0.145
Ho: 0.000 0.000 0.855
Ti: 0.667 0.333 0.381
Ti: 0.667 0.333 0.619
O: 0.000 0.000 0.500
O: 0.667 0.333 0.000

Its symmetry is P-6m2, No. 187.

***

Record 8
An optimized crystal structure of Ho2TiO5. Source: Alexandria via LeMat-Bulk, functional PBE.

a = 10.391 Å, b = 3.689 Å, c = 11.280 Å
α = 90.00°, β = 90.00°, γ = 90.00°
Fractional coordinates of all 32 atoms:
Ho: 0.116 0.250 0.224
Ho: 0.135 0.250 0.556
Ho: 0.365 0.750 0.056
Ho: 0.384 0.750 0.724
Ho: 0.616 0.250 0.276
Ho: 0.635 0.250 0.944
Ho: 0.865 0.750 0.444
Ho: 0.884 0.750 0.776
Ti: 0.173 0.250 0.881
Ti: 0.327 0.750 0.381
Ti: 0.673 0.250 0.619
Ti: 0.827 0.750 0.119
O: 0.006 0.250 0.846
O: 0.006 0.750 0.605
O: 0.224 0.250 0.044
O: 0.237 0.750 0.884
O: 0.244 0.750 0.229
O: 0.256 0.250 0.729
O: 0.263 0.250 0.384
O: 0.276 0.750 0.544
O: 0.494 0.250 0.105
O: 0.494 0.750 0.346
O: 0.506 0.250 0.654
O: 0.506 0.750 0.895
O: 0.724 0.250 0.456
O: 0.737 0.750 0.616
O: 0.744 0.750 0.271
O: 0.756 0.250 0.771
O: 0.763 0.250 0.116
O: 0.776 0.750 0.956
O: 0.994 0.250 0.395
O: 0.994 0.750 0.154

Its symmetry is Pnma, No. 62.

***

Record 9
An optimized crystal structure of Ho10Ti6O27. Source: Alexandria via LeMat-Bulk, functional PBE.

a = 7.416 Å, b = 7.416 Å, c = 12.489 Å
α = 107.90°, β = 107.90°, γ = 58.55°
Fractional coordinates of all 43 atoms:
Ho: 0.000 0.000 0.000
Ho: 0.003 0.003 0.506
Ho: 0.239 0.748 0.735
Ho: 0.261 0.771 0.256
Ho: 0.262 0.262 0.275
Ho: 0.269 0.269 0.769
Ho: 0.536 0.536 0.993
Ho: 0.748 0.239 0.735
Ho: 0.771 0.261 0.256
Ho: 0.774 0.774 0.236
Ti: 0.000 0.511 0.495
Ti: 0.022 0.496 0.005
Ti: 0.496 0.022 0.005
Ti: 0.511 0.000 0.495
Ti: 0.517 0.517 0.509
Ti: 0.771 0.771 0.758
O: 0.053 0.546 0.663
O: 0.084 0.084 0.190
O: 0.087 0.087 0.693
O: 0.096 0.522 0.166
O: 0.236 0.642 0.542
O: 0.244 0.687 0.068
O: 0.256 0.256 0.458
O: 0.282 0.282 0.954
O: 0.318 0.892 0.944
O: 0.370 0.845 0.478
O: 0.454 0.454 0.813
O: 0.461 0.461 0.344
O: 0.494 0.911 0.319
O: 0.522 0.096 0.166
O: 0.546 0.053 0.663
O: 0.598 0.962 0.865
O: 0.614 0.614 0.676
O: 0.642 0.236 0.542
O: 0.687 0.244 0.068
O: 0.726 0.726 0.043
O: 0.822 0.822 0.501
O: 0.845 0.370 0.478
O: 0.892 0.318 0.944
O: 0.911 0.494 0.319
O: 0.932 0.932 0.799
O: 0.949 0.949 0.317
O: 0.962 0.598 0.865

Its symmetry is Cm, No. 8.

***

Record 10
An optimized crystal structure of Ho5Ti5O17. Source: Alexandria via LeMat-Bulk, functional PBE.

a = 3.812 Å, b = 5.489 Å, c = 31.524 Å
α = 90.00°, β = 90.00°, γ = 90.00°
Fractional coordinates of all 54 atoms:
Ho: 0.000 0.153 0.000
Ho: 0.000 0.297 0.775
Ho: 0.000 0.346 0.556
Ho: 0.000 0.665 0.681
Ho: 0.000 0.835 0.876
Ho: 0.500 0.165 0.376
Ho: 0.500 0.335 0.181
Ho: 0.500 0.654 0.056
Ho: 0.500 0.703 0.275
Ho: 0.500 0.847 0.500
Ti: 0.000 0.218 0.102
Ti: 0.000 0.234 0.277
Ti: 0.000 0.285 0.454
Ti: 0.000 0.726 0.365
Ti: 0.000 0.774 0.188
Ti: 0.500 0.226 0.688
Ti: 0.500 0.274 0.865
Ti: 0.500 0.715 0.954
Ti: 0.500 0.766 0.777
Ti: 0.500 0.782 0.602
O: 0.000 0.065 0.504
O: 0.000 0.082 0.160
O: 0.000 0.085 0.331
O: 0.000 0.236 0.854
O: 0.000 0.252 0.699
O: 0.000 0.431 0.395
O: 0.000 0.437 0.051
O: 0.000 0.442 0.223
O: 0.000 0.557 0.143
O: 0.000 0.559 0.488
O: 0.000 0.570 0.307
O: 0.000 0.708 0.607
O: 0.000 0.720 0.773
O: 0.000 0.791 0.948
O: 0.000 0.930 0.249
O: 0.000 0.944 0.067
O: 0.000 0.954 0.409
O: 0.500 0.046 0.909
O: 0.500 0.056 0.567
O: 0.500 0.070 0.749
O: 0.500 0.209 0.448
O: 0.500 0.280 0.273
O: 0.500 0.292 0.107
O: 0.500 0.430 0.807
O: 0.500 0.441 0.988
O: 0.500 0.443 0.643
O: 0.500 0.558 0.723
O: 0.500 0.563 0.551
O: 0.500 0.569 0.895
O: 0.500 0.748 0.199
O: 0.500 0.764 0.354
O: 0.500 0.915 0.831
O: 0.500 0.918 0.660
O: 0.500 0.935 0.004

Its symmetry is Pmn2_1, No. 31.

***

Record 11
An optimized crystal structure of HoTiO3. Source: Alexandria via LeMat-Bulk, functional PBE.

a = 7.344 Å, b = 3.336 Å, c = 5.184 Å
α = 90.00°, β = 90.00°, γ = 90.00°
Fractional coordinates of all 10 atoms:
Ho: 0.250 0.000 0.052
Ho: 0.750 0.000 0.948
Ti: 0.000 0.500 0.500
Ti: 0.500 0.500 0.500
O: 0.042 0.000 0.741
O: 0.250 0.500 0.330
O: 0.458 0.000 0.741
O: 0.542 0.000 0.259
O: 0.750 0.500 0.670
O: 0.958 0.000 0.259

Its symmetry is Pmma, No. 51.

***

Record 12
An optimized crystal structure of Ho2TiO5. Source: Alexandria via LeMat-Bulk, functional PBE.

a = 5.874 Å, b = 5.874 Å, c = 10.483 Å
α = 90.00°, β = 90.00°, γ = 139.52°
Fractional coordinates of all 16 atoms:
Ho: 0.144 0.856 0.570
Ho: 0.144 0.856 0.930
Ho: 0.856 0.144 0.070
Ho: 0.856 0.144 0.430
Ti: 0.170 0.830 0.250
Ti: 0.830 0.170 0.750
O: 0.050 0.950 0.123
O: 0.050 0.950 0.377
O: 0.276 0.724 0.750
O: 0.289 0.711 0.091
O: 0.289 0.711 0.409
O: 0.711 0.289 0.591
O: 0.711 0.289 0.909
O: 0.724 0.276 0.250
O: 0.950 0.050 0.623
O: 0.950 0.050 0.877

Its symmetry is Cmcm, No. 63.

***

D(E_F), record by record: 7.13; 9.47; 6.44; 0.00; 5.01; 5.27; 5.56; 0.00; 0.00; 6.55; 3.48; 0.00 states/eV/cell
E_form (uncorrected), record by record: -3.22; -3.00; -2.78; -3.42; -3.15; -3.35; -1.43; -3.46; -3.34; -3.27; -3.07; -3.38 eV/atom